Record 1
BeAlAs2Pd after structural relaxation, computed with PBE-GGA.

Unit cell a=4.9422 b=4.9422 c=4.1515 alpha=90.00 beta=90.00 gamma=90.00
Last column: nearest neighbours and their distance in Å.
Sites, in units of the cell vectors:
1 Be 0.0000 0.0000 0.0000  2 Pd 2.08
2 Al 0.5000 0.5000 0.0000  8 As 3.23, 4 Be 3.49
3 As 0.0000 0.5000 0.5000  2 Pd 2.47
4 As 0.5000 0.0000 0.5000  2 Pd 2.47
5 Pd 0.0000 0.0000 0.5000  2 Be 2.08

Results
energy of formation from the pure elements	0.492	eV per atom
symmetry	P4/mmm, No. 123
total moment	0.00	μB/f.u.

Record 2
BeAlAs2Pt after structural relaxation, computed with PBE-GGA.

Unit cell a=4.7541 b=4.7541 c=4.7026 alpha=90.00 beta=90.00 gamma=90.00
Last column: nearest neighbours and their distance in Å.
Sites, in units of the cell vectors:
1 Be 0.0000 0.0000 0.0000  8 As 3.34, 4 Pt 3.36
2 Al 0.5000 0.5000 0.5000  2 Pt 2.35, 4 As 2.38
3 As 0.0000 0.5000 0.5000  2 Al 2.38
4 As 0.5000 0.0000 0.5000  2 Al 2.38
5 Pt 0.5000 0.5000 0.0000  2 Al 2.35

Results
energy of formation from the pure elements	0.949	eV per atom
symmetry	P4/mmm, No. 123
total moment	0.00	μB/f.u.

Record 3
Be2AlAsPt after structural relaxation, computed with PBE-GGA.

Unit cell a=4.2257 b=4.2257 c=5.1885 alpha=90.00 beta=90.00 gamma=90.00
Last column: nearest neighbours and their distance in Å.
Sites, in units of the cell vectors:
1 Be 0.0000 0.5000 0.0000  2 Pt 2.11
2 Be 0.5000 0.0000 0.0000  2 Pt 2.11
3 Al 0.0000 0.0000 0.5000  4 As 2.99, 8 Be 3.35
4 As 0.5000 0.5000 0.5000  2 Pt 2.59
5 Pt 0.5000 0.5000 0.0000  4 Be 2.11

Results
energy of formation from the pure elements	0.366	eV per atom
symmetry	P4/mmm, No. 123
total moment	0.00	μB/f.u.

Record 4
BeAlAsSe2 after structural relaxation, computed with PBE-GGA.

Unit cell a=4.8422 b=4.8422 c=4.8830 alpha=90.00 beta=90.00 gamma=90.00
Last column: nearest neighbours and their distance in Å.
Sites, in units of the cell vectors:
1 Be 0.0000 0.0000 0.0000  4 As 3.42, 8 Se 3.44
2 Al 0.5000 0.5000 0.5000  4 Se 2.42, 2 As 2.44
3 As 0.5000 0.5000 0.0000  2 Al 2.44
4 Se 0.0000 0.5000 0.5000  2 Al 2.42
5 Se 0.5000 0.0000 0.5000  2 Al 2.42

Results
symmetry	P4/mmm, No. 123
total moment	0.00	μB/f.u.
energy above the most stable polymorph in this dataset	366	meV/atom
formation energy without anion corrections	0.721	eV/atom

Record 5
BeAlAsSe2 after structural relaxation, computed with PBE-GGA.

Unit cell a=4.8592 b=4.8592 c=4.1884 alpha=90.00 beta=90.00 gamma=90.00
Last column: nearest neighbours and their distance in Å.
Sites, in units of the cell vectors:
1 Be 0.0000 0.0000 0.0000  2 As 2.09
2 Al 0.5000 0.5000 0.5000  8 Se 3.21, 4 As 3.44
3 As 0.0000 0.0000 0.5000  2 Be 2.09
4 Se 0.0000 0.5000 0.0000  2 Be 2.43
5 Se 0.5000 0.0000 0.0000  2 Be 2.43

Results
symmetry	P4/mmm, No. 123
total moment	0.00	μB/f.u.
energy above the most stable polymorph in this dataset	0	meV/atom
formation energy without anion corrections	0.354	eV/atom

Record 6
TaBe2AlAs after structural relaxation, computed with PBE-GGA.

Unit cell a=4.5216 b=4.5216 c=5.0078 alpha=90.00 beta=90.00 gamma=90.00
Last column: nearest neighbours and their distance in Å.
Sites, in units of the cell vectors:
1 Ta 0.0000 0.0000 0.0000  4 Be 2.26, 2 Al 2.50
2 Be 0.0000 0.5000 0.0000  2 Ta 2.26
3 Be 0.5000 0.0000 0.0000  2 Ta 2.26
4 Al 0.0000 0.0000 0.5000  2 Ta 2.50
5 As 0.5000 0.5000 0.5000  4 Al 3.20, 8 Be 3.37

Results
energy of formation from the pure elements	1.458	eV per atom
symmetry	P4/mmm, No. 123
total moment	0.00	μB/f.u.

Record 7
BeAlTeAs2 after structural relaxation, computed with PBE-GGA.

Unit cell a=5.3938 b=5.3938 c=5.1754 alpha=90.00 beta=90.00 gamma=90.00
Last column: nearest neighbours and their distance in Å.
Sites, in units of the cell vectors:
1 Be 0.0000 0.0000 0.0000  8 As 3.74, 4 Al 3.81
2 Al 0.5000 0.5000 0.0000  2 Te 2.59
3 Te 0.5000 0.5000 0.5000  2 Al 2.59, 4 As 2.70
4 As 0.0000 0.5000 0.5000  2 Te 2.70
5 As 0.5000 0.0000 0.5000  2 Te 2.70

Results
symmetry	P4/mmm, No. 123
total moment	0.00	μB/f.u.
formation energy without anion corrections	1.391	eV/atom

Record 8
BeAl2TlAs after structural relaxation, computed with PBE-GGA.

Unit cell a=5.2060 b=5.2060 c=4.4233 alpha=90.00 beta=90.00 gamma=90.00
Last column: nearest neighbours and their distance in Å.
Sites, in units of the cell vectors:
1 Be 0.0000 0.0000 0.0000  2 Tl 2.21
2 Al 0.0000 0.5000 0.5000  2 Tl 2.60
3 Al 0.5000 0.0000 0.5000  2 Tl 2.60
4 Tl 0.0000 0.0000 0.5000  2 Be 2.21
5 As 0.5000 0.5000 0.0000  8 Al 3.42, 4 Be 3.68

Results
energy of formation from the pure elements	1.010	eV per atom
symmetry	P4/mmm, No. 123
total moment	0.00	μB/f.u.

Record 9
BeAl2ZnAs after structural relaxation, computed with PBE-GGA.

Unit cell a=4.4892 b=4.4892 c=4.2338 alpha=90.00 beta=90.00 gamma=90.00
Last column: nearest neighbours and their distance in Å.
Sites, in units of the cell vectors:
1 Be 0.0000 0.0000 0.0000  2 Zn 2.12, 4 Al 2.24
2 Al 0.0000 0.5000 0.0000  2 Be 2.24
3 Al 0.5000 0.0000 0.0000  2 Be 2.24
4 Zn 0.0000 0.0000 0.5000  2 Be 2.12
5 As 0.5000 0.5000 0.5000  8 Al 3.09, 4 Zn 3.17

Results
energy of formation from the pure elements	0.360	eV per atom
symmetry	P4/mmm, No. 123
total moment	0.00	μB/f.u.

Record 10
AlBi2As after structural relaxation, computed with PBE-GGA.

Unit cell a=6.4620 b=6.4620 c=13.7954 alpha=90.00 beta=90.00 gamma=90.00
Last column: nearest neighbours and their distance in Å.
Sites, in units of the cell vectors:
1 Al 0.0000 0.0000 0.0000  4 Bi 2.83
2 Al 0.0000 0.5000 0.2500  4 Bi 2.83
3 Al 0.5000 0.0000 0.7500  4 Bi 2.83
4 Al 0.5000 0.5000 0.5000  4 Bi 2.83
5 Bi 0.2409 0.2500 0.1250  2 Al 2.83, 2 As 2.90
6 Bi 0.2500 0.7409 0.3750  2 Al 2.83, 2 As 2.90
7 Bi 0.2500 0.7591 0.8750  2 Al 2.83, 2 As 2.90
8 Bi 0.2591 0.2500 0.6250  2 Al 2.83, 2 As 2.90
9 Bi 0.7409 0.7500 0.6250  2 Al 2.83, 2 As 2.90
10 Bi 0.7500 0.2409 0.8750  2 Al 2.83, 2 As 2.90
11 Bi 0.7500 0.2591 0.3750  2 Al 2.83, 2 As 2.90
12 Bi 0.7591 0.7500 0.1250  2 Al 2.83, 2 As 2.90
13 As 0.0000 0.0000 0.5000  4 Bi 2.90
14 As 0.0000 0.5000 0.7500  4 Bi 2.90
15 As 0.5000 0.0000 0.2500  4 Bi 2.90
16 As 0.5000 0.5000 0.0000  4 Bi 2.90

Results
energy of formation from the pure elements	0.267	eV per atom
symmetry	I-42d, No. 122
total moment	0.00	μB/f.u.
energy above the most stable polymorph in this dataset	0	meV/atom

Record 11
AlBiAs2 after structural relaxation, computed with PBE-GGA.

Unit cell a=7.0636 b=7.0636 c=7.0636 alpha=90.00 beta=90.00 gamma=90.00
Last column: nearest neighbours and their distance in Å.
Sites, in units of the cell vectors:
1 Al 0.0000 0.0000 0.0000  8 As 3.06
2 Al 0.0000 0.5000 0.5000  8 As 3.06
3 Al 0.5000 0.0000 0.5000  8 As 3.06
4 Al 0.5000 0.5000 0.0000  8 As 3.06
5 Bi 0.0000 0.0000 0.5000  8 As 3.06
6 Bi 0.0000 0.5000 0.0000  8 As 3.06
7 Bi 0.5000 0.0000 0.0000  8 As 3.06
8 Bi 0.5000 0.5000 0.5000  8 As 3.06
9 As 0.2500 0.2500 0.2500  4 Bi 3.06, 4 Al 3.06
10 As 0.2500 0.2500 0.7500  4 Bi 3.06, 4 Al 3.06
11 As 0.2500 0.7500 0.2500  4 Bi 3.06, 4 Al 3.06
12 As 0.2500 0.7500 0.7500  4 Bi 3.06, 4 Al 3.06
13 As 0.7500 0.2500 0.2500  4 Bi 3.06, 4 Al 3.06
14 As 0.7500 0.2500 0.7500  4 Bi 3.06, 4 Al 3.06
15 As 0.7500 0.7500 0.2500  4 Bi 3.06, 4 Al 3.06
16 As 0.7500 0.7500 0.7500  4 Al 3.06, 4 Bi 3.06

Results
energy of formation from the pure elements	0.284	eV per atom
symmetry	Fm-3m, No. 225
total moment	0.00	μB/f.u.
energy above the most stable polymorph in this dataset	354	meV/atom

Record 12
AlBiAs after structural relaxation, computed with PBE-GGA.

Unit cell a=4.7368 b=4.4899 c=7.2523 alpha=90.00 beta=90.48 gamma=90.00
Last column: nearest neighbours and their distance in Å.
Sites, in units of the cell vectors:
1 Al 0.2474 0.2500 0.4848  4 As 2.57-2.59
2 Al 0.7526 0.7500 0.5152  4 As 2.57-2.59
3 Bi 0.2338 0.7500 0.0501  1 As 2.85
4 Bi 0.7662 0.2500 0.9499  1 As 2.85
5 As 0.2539 0.7500 0.6575  4 Al 2.57-2.59, 1 Bi 2.85
6 As 0.7461 0.2500 0.3425  4 Al 2.57-2.59, 1 Bi 2.85

Results
energy of formation from the pure elements	-0.004	eV per atom
symmetry	P2_1/m, No. 11
total moment	0.00	μB/f.u.